<i>
Entry from Alexandria via LeMat-Bulk: a geometry-optimized Re3AgGe structure (PBE).

Values from the calculation:
- Spin magnetization: 0.0 Bohr magnetons per cell
- DOS(E_F): 1.059 states/eV per atom
- Symmetry: Pm-3m

a b c (Å): 4.5498 4.5498 4.5498
angles (deg): 90.00 90.00 90.00
Element x y z (fractional)
Re1 0.0000 0.5000 0.0000
Re2 0.5000 0.0000 0.0000
Re3 0.0000 0.0000 0.5000
Ag1 0.5000 0.5000 0.5000
Ge1 0.0000 0.0000 0.0000


<ii>
Entry from Alexandria via LeMat-Bulk: a geometry-optimized Re3AgGe structure (PBE).

Values from the calculation:
- Spin magnetization: 4.2 Bohr magnetons per cell
- DOS(E_F): 1.453 states/eV per atom
- Symmetry: Pm-3m

a b c (Å): 4.7961 4.7961 4.7961
angles (deg): 90.00 90.00 90.00
Last column: magnetic moment on the atom in μB.
Element x y z (fractional)
Re1 0.0000 0.0000 0.5000  1.63
Re2 0.5000 0.0000 0.0000  0.99
Re3 0.0000 0.5000 0.0000  1.04
Ge1 0.5000 0.5000 0.5000  -0.04
Ag1 0.0000 0.0000 0.0000  0.13


Which structure is most stable? <i>, by 1177 meV per atom over the runner-up.


<i>
Entry from Alexandria via LeMat-Bulk: a geometry-optimized Ag3GeRh structure (PBE).

Values from the calculation:
- Spin magnetization: 0.5 Bohr magnetons per cell
- DOS(E_F): 0.809 states/eV per atom
- Symmetry: Pm-3m

a b c (Å): 5.0041 5.0041 5.0041
angles (deg): 90.00 90.00 90.00
Last column: magnetic moment on the atom in μB.
Element x y z (fractional)
Ag1 0.5000 0.0000 0.0000  0.01
Ag2 0.0000 0.0000 0.5000  0.04
Ag3 0.0000 0.5000 0.0000  0.03
Rh1 0.0000 0.0000 0.0000  0.48
Ge1 0.5000 0.5000 0.5000  -0.02


<ii>
Entry from Alexandria via LeMat-Bulk: a geometry-optimized Ag3GeRh structure (PBE).

Values from the calculation:
- Spin magnetization: 0.0 Bohr magnetons per cell
- DOS(E_F): 0.694 states/eV per atom
- Symmetry: Pm-3m

a b c (Å): 4.7551 4.7551 4.7551
angles (deg): 90.00 90.00 90.00
Element x y z (fractional)
Rh1 0.5000 0.5000 0.5000
Ag1 0.0000 0.0000 0.5000
Ag2 0.0000 0.5000 0.0000
Ag3 0.5000 0.0000 0.0000
Ge1 0.0000 0.0000 0.0000


Which structure is most stable? <ii>, by 220 meV per atom over the runner-up.


<i>
Entry from Alexandria via LeMat-Bulk: a geometry-optimized Ag2Ge2Rh structure (PBE).

Values from the calculation:
- Spin magnetization: 0.0 Bohr magnetons per cell
- DOS(E_F): 0.467 states/eV per atom
- Symmetry: P4/mbm

a b c (Å): 6.4240 6.4240 4.2140
angles (deg): 90.00 90.00 90.00
Element x y z (fractional)
Rh1 0.5000 0.5000 0.0000
Rh2 0.0000 0.0000 0.0000
Ge1 0.8611 0.6389 0.0000
Ge2 0.6389 0.1389 0.0000
Ge3 0.3611 0.8611 0.0000
Ge4 0.1389 0.3611 0.0000
Ag1 0.1747 0.6747 0.5000
Ag2 0.8253 0.3253 0.5000
Ag3 0.3253 0.1747 0.5000
Ag4 0.6747 0.8253 0.5000


<ii>
Entry from Alexandria via LeMat-Bulk: a geometry-optimized Ag2Ge2Rh structure (PBE).

Values from the calculation:
- Spin magnetization: 0.0 Bohr magnetons per cell
- DOS(E_F): 0.657 states/eV per atom
- Symmetry: P4/mbm

a b c (Å): 7.3266 7.3266 3.2717
angles (deg): 90.00 90.00 90.00
Element x y z (fractional)
Rh1 0.5000 0.5000 0.0000
Rh2 0.0000 0.0000 0.0000
Ge1 0.8250 0.3250 0.5000
Ge2 0.6750 0.8250 0.5000
Ge3 0.1750 0.6750 0.5000
Ge4 0.3250 0.1750 0.5000
Ag1 0.8684 0.6316 0.0000
Ag2 0.1316 0.3684 0.0000
Ag3 0.3684 0.8684 0.0000
Ag4 0.6316 0.1316 0.0000


<iii>
Entry from Alexandria via LeMat-Bulk: a geometry-optimized Ag2Ge2Rh structure (PBE).

Values from the calculation:
- Spin magnetization: 0.1 Bohr magnetons per cell
- DOS(E_F): 0.894 states/eV per atom
- Symmetry: I4/mmm

a b c (Å): 3.6613 3.6613 7.3414
angles (deg): 75.56 75.56 90.00
Last column: magnetic moment on the atom in μB.
Element x y z (fractional)
Rh1 0.0000 0.0000 0.0000  0.07
Ge1 0.7500 0.2500 0.5000  0.00
Ge2 0.2500 0.7500 0.5000  0.00
Ag1 0.4025 0.4025 0.1949  0.00
Ag2 0.5975 0.5975 0.8051  0.00


Which structure is most stable? <i>, by 351 meV per atom over the runner-up.


<i>
Entry from Alexandria via LeMat-Bulk: a geometry-optimized Ag3GeRu structure (PBE).

Values from the calculation:
- Spin magnetization: 2.3 Bohr magnetons per cell
- DOS(E_F): 1.172 states/eV per atom
- Symmetry: Pm-3m

a b c (Å): 4.7660 4.7660 4.7660
angles (deg): 90.00 90.00 90.00
Last column: magnetic moment on the atom in μB.
Element x y z (fractional)
Ag1 0.0000 0.5000 0.0000  -0.01
Ag2 0.0000 0.0000 0.5000  0.00
Ag3 0.5000 0.0000 0.0000  -0.01
Ge1 0.0000 0.0000 0.0000  0.05
Ru1 0.5000 0.5000 0.5000  2.19


<ii>
Entry from Alexandria via LeMat-Bulk: a geometry-optimized Ag3GeRu structure (PBE).

Values from the calculation:
- Spin magnetization: 1.9 Bohr magnetons per cell
- DOS(E_F): 0.994 states/eV per atom
- Symmetry: Pm-3m

a b c (Å): 5.0350 5.0350 5.0350
angles (deg): 90.00 90.00 90.00
Last column: magnetic moment on the atom in μB.
Element x y z (fractional)
Ru1 0.0000 0.0000 0.0000  1.72
Ag1 0.5000 0.0000 0.0000  0.03
Ag2 0.0000 0.5000 0.0000  0.07
Ag3 0.0000 0.0000 0.5000  0.16
Ge1 0.5000 0.5000 0.5000  -0.05


Which structure is most stable? <i>, by 249 meV per atom over the runner-up.


<i>
Entry from Alexandria via LeMat-Bulk: a geometry-optimized AgGe2Ru structure (PBE).

Values from the calculation:
- Spin magnetization: 0.0 Bohr magnetons per cell
- DOS(E_F): 0.639 states/eV per atom
- Symmetry: I-42d

a b c (Å): 5.8746 5.8746 6.8335
angles (deg): 64.54 64.54 90.00
Element x y z (fractional)
Ag1 0.0000 0.0000 0.0000
Ag2 0.7500 0.2500 0.5000
Ge1 0.1617 0.6250 0.2500
Ge2 0.5883 0.1250 0.2500
Ge3 0.3750 0.4117 0.7500
Ge4 0.8750 0.8383 0.7500
Ru1 0.2500 0.7500 0.5000
Ru2 0.5000 0.5000 0.0000


<ii>
Entry from Alexandria via LeMat-Bulk: a geometry-optimized AgGe2Ru structure (PBE).

Values from the calculation:
- Spin magnetization: 0.0 Bohr magnetons per cell
- DOS(E_F): 0.844 states/eV per atom
- Symmetry: Fm-3m

a b c (Å): 4.5042 4.5042 4.5042
angles (deg): 60.00 60.00 60.00
Element x y z (fractional)
Ge1 0.7500 0.7500 0.7500
Ge2 0.2500 0.2500 0.2500
Ag1 0.5000 0.5000 0.5000
Ru1 0.0000 0.0000 0.0000


Which structure is most stable? <ii>, by 196 meV per atom over the runner-up.


<i>
Entry from Alexandria via LeMat-Bulk: a geometry-optimized AgGeRu structure (PBE).

Values from the calculation:
- Spin magnetization: 0.0 Bohr magnetons per cell
- DOS(E_F): 0.730 states/eV per atom
- Symmetry: Cmcm

a b c (Å): 2.9613 4.0928 8.4636
angles (deg): 90.00 100.08 90.00
Element x y z (fractional)
Ag1 0.2095 0.7500 0.4189
Ag2 0.7905 0.2500 0.5811
Ru1 0.4373 0.2500 0.8745
Ru2 0.5627 0.7500 0.1255
Ge1 0.9274 0.7500 0.8548
Ge2 0.0726 0.2500 0.1452


<ii>
Entry from Alexandria via LeMat-Bulk: a geometry-optimized AgGeRu structure (PBE).

Values from the calculation:
- Spin magnetization: 0.5 Bohr magnetons per cell
- DOS(E_F): 1.065 states/eV per atom
- Symmetry: P4/nmm

a b c (Å): 3.9801 3.9801 6.4327
angles (deg): 90.00 90.00 90.00
Last column: magnetic moment on the atom in μB.
Element x y z (fractional)
Ge1 0.0000 0.5000 0.2628  0.00
Ge2 0.5000 0.0000 0.7372  0.00
Ru1 0.5000 0.5000 0.5000  0.22
Ru2 0.0000 0.0000 0.5000  0.22
Ag1 0.5000 0.0000 0.1439  0.00
Ag2 0.0000 0.5000 0.8561  0.00


Which structure is most stable? <i>, by 16 meV per atom over the runner-up.


<i>
Entry from Alexandria via LeMat-Bulk: a geometry-optimized AgGeRu3 structure (PBE).

Values from the calculation:
- Spin magnetization: 2.7 Bohr magnetons per cell
- DOS(E_F): 1.571 states/eV per atom
- Symmetry: Pm-3m

a b c (Å): 4.5472 4.5472 4.5472
angles (deg): 90.00 90.00 90.00
Last column: magnetic moment on the atom in μB.
Element x y z (fractional)
Ge1 0.0000 0.0000 0.0000  -0.02
Ru1 0.5000 0.0000 0.0000  0.83
Ru2 0.0000 0.0000 0.5000  0.89
Ru3 0.0000 0.5000 0.0000  0.89
Ag1 0.5000 0.5000 0.5000  0.07


<ii>
Entry from Alexandria via LeMat-Bulk: a geometry-optimized AgGeRu3 structure (PBE).

Values from the calculation:
- Spin magnetization: 5.4 Bohr magnetons per cell
- DOS(E_F): 1.947 states/eV per atom
- Symmetry: Pm-3m

a b c (Å): 4.8169 4.8169 4.8169
angles (deg): 90.00 90.00 90.00
Last column: magnetic moment on the atom in μB.
Element x y z (fractional)
Ru1 0.0000 0.5000 0.0000  1.70
Ru2 0.0000 0.0000 0.5000  2.32
Ru3 0.5000 0.0000 0.0000  1.27
Ag1 0.0000 0.0000 0.0000  0.13
Ge1 0.5000 0.5000 0.5000  -0.10


Which structure is most stable? <i>, by 1110 meV per atom over the runner-up.


<i>
Entry from Alexandria via LeMat-Bulk: a geometry-optimized Ag2GeS structure (PBE).

Values from the calculation:
- Spin magnetization: 0.0 Bohr magnetons per cell
- DOS(E_F): 0.124 states/eV per atom
- Symmetry: I-42d

a b c (Å): 6.5406 6.5406 6.2367
angles (deg): 58.37 58.37 90.00
Element x y z (fractional)
Ag1 0.8750 0.8645 0.7500
Ag2 0.1355 0.6250 0.2500
Ag3 0.6145 0.1250 0.2500
Ag4 0.3750 0.3855 0.7500
S1 0.5000 0.5000 0.0000
S2 0.2500 0.7500 0.5000
Ge1 0.7500 0.2500 0.5000
Ge2 0.0000 0.0000 0.0000


<ii>
Entry from Alexandria via LeMat-Bulk: a geometry-optimized Ag2GeS structure (PBE).

Values from the calculation:
- Spin magnetization: 0.0 Bohr magnetons per cell
- DOS(E_F): 0.388 states/eV per atom
- Symmetry: Fm-3m

a b c (Å): 4.7148 4.7148 4.7148
angles (deg): 60.00 60.00 60.00
Element x y z (fractional)
Ge1 0.5000 0.5000 0.5000
Ag1 0.2500 0.2500 0.2500
Ag2 0.7500 0.7500 0.7500
S1 0.0000 0.0000 0.0000


Which structure is most stable? <ii>, by 28 meV per atom over the runner-up.


<i>
Entry from Alexandria via LeMat-Bulk: a geometry-optimized Ag5GeS4 structure (PBE).

Values from the calculation:
- Spin magnetization: 0.0 Bohr magnetons per cell
- DOS(E_F): 0.412 states/eV per atom
- Symmetry: Immm

a b c (Å): 3.8349 7.2201 8.2782
angles (deg): 115.82 103.39 90.00
Element x y z (fractional)
Ag1 0.8249 0.1120 0.6498
Ag2 0.5000 0.5000 0.0000
Ag3 0.8251 0.5377 0.6502
Ag4 0.1749 0.4623 0.3498
Ag5 0.1751 0.8880 0.3502
S1 0.0001 0.7487 0.0002
S2 0.6862 0.1864 0.3723
S3 0.3138 0.8136 0.6277
S4 0.9999 0.2513 0.9998
Ge1 0.5000 0.0000 0.0000


<ii>
Entry from Alexandria via LeMat-Bulk: a geometry-optimized Ag5GeS4 structure (PBE).

Values from the calculation:
- Spin magnetization: 0.0 Bohr magnetons per cell
- DOS(E_F): 0.231 states/eV per atom
- Symmetry: Pmmn

a b c (Å): 5.7655 10.4385 7.6486
angles (deg): 90.00 90.00 90.00
Element x y z (fractional)
Ag1 0.8077 0.8571 0.6912
Ag2 0.8077 0.1429 0.6912
Ag3 0.1923 0.6429 0.1912
Ag4 0.1625 0.0000 0.5000
Ag5 0.1923 0.3571 0.1912
Ag6 0.8077 0.8571 0.3088
Ag7 0.8077 0.1429 0.3088
Ag8 0.1923 0.6429 0.8088
Ag9 0.8375 0.5000 0.0000
Ag10 0.1923 0.3571 0.8088
S1 0.9738 0.3244 0.5000
S2 0.4609 0.0000 0.7450
S3 0.0262 0.8244 0.0000
S4 0.4609 0.0000 0.2550
S5 0.5391 0.5000 0.2450
S6 0.9738 0.6756 0.5000
S7 0.0262 0.1756 0.0000
S8 0.5391 0.5000 0.7550
Ge1 0.2638 0.0000 0.0000
Ge2 0.7362 0.5000 0.5000


Which structure is most stable? <ii>, by 65 meV per atom over the runner-up.


<i>
Entry from Alexandria via LeMat-Bulk: a geometry-optimized Ag3GeS structure (PBE).

Values from the calculation:
- Spin magnetization: 0.0 Bohr magnetons per cell
- DOS(E_F): 1.426 states/eV per atom
- Symmetry: Pm-3m

a b c (Å): 4.9023 4.9023 4.9023
angles (deg): 90.00 90.00 90.00
Element x y z (fractional)
Ag1 0.0000 0.5000 0.0000
Ag2 0.0000 0.0000 0.5000
Ag3 0.5000 0.0000 0.0000
Ge1 0.0000 0.0000 0.0000
S1 0.5000 0.5000 0.5000


<ii>
Entry from Alexandria via LeMat-Bulk: a geometry-optimized Ag3GeS structure (PBE).

Values from the calculation:
- Spin magnetization: 0.0 Bohr magnetons per cell
- DOS(E_F): 0.934 states/eV per atom
- Symmetry: Pm-3m

a b c (Å): 4.8494 4.8494 4.8494
angles (deg): 90.00 90.00 90.00
Element x y z (fractional)
Ag1 0.5000 0.0000 0.0000
Ag2 0.0000 0.5000 0.0000
Ag3 0.0000 0.0000 0.5000
S1 0.0000 0.0000 0.0000
Ge1 0.5000 0.5000 0.5000


Which structure is most stable? <ii>, by 241 meV per atom over the runner-up.


<i>
Entry from Alexandria via LeMat-Bulk: a geometry-optimized AgGe2S4 structure (PBE).

Values from the calculation:
- Spin magnetization: 0.0 Bohr magnetons per cell
- DOS(E_F): 0.533 states/eV per atom
- Symmetry: I4/m

a b c (Å): 6.0913 6.0913 6.0913
angles (deg): 104.52 104.52 119.90
Element x y z (fractional)
Ge1 0.7500 0.2500 0.5000
Ge2 0.2500 0.7500 0.5000
S1 0.1766 0.6580 0.8346
S2 0.8234 0.3420 0.1654
S3 0.3420 0.1766 0.5187
S4 0.6580 0.8234 0.4813
Ag1 0.5000 0.5000 0.0000


<ii>
Entry from Alexandria via LeMat-Bulk: a geometry-optimized AgGe2S4 structure (PBE).

Values from the calculation:
- Spin magnetization: 0.0 Bohr magnetons per cell
- DOS(E_F): 0.298 states/eV per atom
- Symmetry: P-42m

a b c (Å): 5.3810 5.3810 5.8728
angles (deg): 90.00 90.00 90.00
Element x y z (fractional)
Ag1 0.0000 0.0000 0.0000
S1 0.2629 0.2629 0.2704
S2 0.2629 0.7371 0.7296
S3 0.7371 0.7371 0.2704
S4 0.7371 0.2629 0.7296
Ge1 0.0000 0.5000 0.5000
Ge2 0.5000 0.0000 0.5000


Which structure is most stable? <ii>, by 35 meV per atom over the runner-up.